## Rb2Mn3VF12 (PBE with a Hubbard U)

Data for a relaxed Rb2Mn3VF12 crystal.

CIF file:
```
data_Rb2Mn3VF12
_space_group_name_H-M_alt 'P 1'
_space_group_IT_number 1
_cell_length_a 7.656
_cell_length_b 7.656
_cell_length_c 7.656
_cell_angle_alpha 58.62
_cell_angle_beta 58.62
_cell_angle_gamma 58.62
loop_
_space_group_symop_operation_xyz
'x,y,z'
loop_
_atom_site_label
_atom_site_fract_x
_atom_site_fract_y
_atom_site_fract_z
_atom_site_occupancy
F1 0.687 0.070 0.070 1
Rb1 0.626 0.626 0.626 1
F2 0.321 0.321 0.932 1
F3 0.313 0.930 0.930 1
Rb2 0.374 0.374 0.374 1
F4 0.930 0.930 0.313 1
Mn1 0.500 0.000 0.000 1
F5 0.070 0.687 0.070 1
F6 0.068 0.679 0.679 1
F7 0.679 0.679 0.068 1
Mn2 0.000 0.500 0.000 1
F8 0.321 0.932 0.321 1
F9 0.679 0.068 0.679 1
V1 0.000 0.000 0.000 1
F10 0.070 0.070 0.687 1
Mn3 0.000 0.000 0.500 1
F11 0.930 0.313 0.930 1
F12 0.932 0.321 0.321 1
```

Properties
As for the total energy: -5.77 eV/atom.